(1)
VASP calculation (meta-GGA SCAN) on Te2AuSe at its PBEsol-relaxed geometry.

Cell: 4.142 4.142 5.645 Å, 90.00 90.00 90.00°
Positions (direct):
Te: 0.000 0.000 0.500
Te: 0.500 0.500 0.000
Au: 0.000 0.000 0.000
Se: 0.500 0.500 0.500

**Calculated density**: 9.1 g cm⁻³
**E above lowest polymorph**: 23.6 kJ/mol of formula units
**Space group**: P4/mmm
**Formation energy from raw total energies**: -3.6 kJ per mole of atoms
**DFT total energy**: -40.971 eV per atom

---

(2)
VASP calculation (meta-GGA SCAN) on Te2AuSe at its PBEsol-relaxed geometry.

Cell: 4.051 4.119 7.053 Å, 104.26 90.00 119.45°
Positions (direct):
Te: 0.720 0.441 0.722
Te: 0.280 0.559 0.278
Au: 0.000 0.000 0.500
Se: 0.500 0.000 0.000

**Calculated density**: 9.0 g cm⁻³
**E above lowest polymorph**: 0.0 kJ/mol of formula units
**Space group**: C2/m
**Formation energy from raw total energies**: -9.5 kJ per mole of atoms
**DFT total energy**: -41.033 eV per atom

---

(3)
VASP calculation (meta-GGA SCAN) on TeAu2Se at its PBEsol-relaxed geometry.

Cell: 4.028 4.074 6.583 Å, 72.09 72.19 60.38°
Positions (direct):
Te: 0.289 0.207 0.215
Au: 0.015 0.983 0.986
Au: 0.743 0.764 0.749
Se: 0.452 0.546 0.550

**Calculated density**: 11.4 g cm⁻³
**Space group**: Cm
**Formation energy from raw total energies**: -6.9 kJ per mole of atoms
**DFT total energy**: -48.983 eV per atom

---

(4)
VASP calculation (meta-GGA SCAN) on Te2AuSe at its PBEsol-relaxed geometry.

Cell: 3.002 4.074 8.160 Å, 90.00 90.00 90.00°
Positions (direct):
Te: 0.000 0.000 0.272
Te: 0.000 0.000 0.728
Au: 0.000 0.500 0.500
Se: 0.000 0.500 0.000

**Calculated density**: 8.8 g cm⁻³
**E above lowest polymorph**: 21.5 kJ/mol of formula units
**Space group**: Pmmm
**Formation energy from raw total energies**: -4.1 kJ per mole of atoms
**DFT total energy**: -40.977 eV per atom

---

(5)
VASP calculation (meta-GGA SCAN) on TiAuSe3 at its PBEsol-relaxed geometry.

Cell: 4.952 4.952 4.952 Å, 90.00 90.00 90.00°
Each line ends with the local moment (μB).
Positions (direct):
Au: 0.000 0.000 0.000  0.00
Se: 0.000 0.500 0.000  -0.15
Se: 0.000 0.000 0.500  -0.15
Se: 0.500 0.000 0.000  -0.15
Ti: 0.500 0.500 0.500  1.74

**Calculated density**: 6.6 g cm⁻³
**Space group**: Pm-3m
**Formation energy from raw total energies**: 37.1 kJ per mole of atoms
**DFT total energy**: -28.700 eV per atom

---

(6)
VASP calculation (meta-GGA SCAN) on TiAu3Se at its PBEsol-relaxed geometry.

Cell: 4.877 4.877 4.877 Å, 90.00 90.00 90.00°
Each line ends with the local moment (μB).
Positions (direct):
Au: 0.000 0.500 0.000  0.05
Au: 0.000 0.000 0.500  0.05
Au: 0.500 0.000 0.000  0.05
Se: 0.500 0.500 0.500  0.10
Ti: 0.000 0.000 0.000  0.88

**Calculated density**: 10.3 g cm⁻³
**Space group**: Pm-3m
**Formation energy from raw total energies**: 79.4 kJ per mole of atoms
**DFT total energy**: -47.893 eV per atom